Here is a relaxed Ba2PmInSe4 crystal from Alexandria via LeMat-Bulk. Energies are from PBE-GGA.

## Properties
As for the space-group type: P2/m (10). For the uncorrected formation energy, the calculation gives -1607 meV/atom. The volume is 33.19 Å³/atom.

Structure (CIF):
```
data_Ba2PmInSe4
_chemical_formula_sum 'Ba2 Pm1 In1 Se4'
_cell_length_a 7.6641
_cell_length_b 4.5329
_cell_length_c 8.0820
_cell_angle_alpha 90.00
_cell_angle_beta 108.96
_cell_angle_gamma 90.00
_symmetry_space_group_name_H-M 'P 1'
_symmetry_Int_Tables_number 1
_symmetry_space_group_name_Hall 'P 1'
loop_
_atom_site_label
_atom_site_fract_x
_atom_site_fract_y
_atom_site_fract_z
_atom_site_occupancy
Ba1 0.0000 0.0000 0.0000 1
Ba2 0.0000 0.5000 0.5000 1
Pm1 0.5000 0.0000 0.5000 1
In1 0.5000 0.5000 0.0000 1
Se1 0.2695 0.0000 0.7322 1
Se2 0.2762 0.5000 0.2732 1
Se3 0.7238 0.5000 0.7268 1
Se4 0.7305 0.0000 0.2678 1
```

Here is a relaxed Ba2PmInSe5 crystal from Alexandria via LeMat-Bulk. Energies are from PBE-GGA.

## Properties
As for the space-group type: Cmc2_1 (36). For the uncorrected formation energy, the calculation gives -1631 meV/atom. The volume is 31.57 Å³/atom.

Structure (CIF):
```
data_Ba2PmInSe5
_chemical_formula_sum 'Ba4 Pm2 In2 Se10'
_cell_length_a 9.9072
_cell_length_b 9.9072
_cell_length_c 13.4998
_cell_angle_alpha 90.00
_cell_angle_beta 90.00
_cell_angle_gamma 154.61
_symmetry_space_group_name_H-M 'P 1'
_symmetry_Int_Tables_number 1
_symmetry_space_group_name_Hall 'P 1'
loop_
_atom_site_label
_atom_site_fract_x
_atom_site_fract_y
_atom_site_fract_z
_atom_site_occupancy
Ba1 0.1171 0.8829 0.5000 1
Ba2 0.1298 0.8702 0.1337 1
Ba3 0.8702 0.1298 0.6337 1
Ba4 0.8829 0.1171 0.0000 1
Pm1 0.2111 0.7889 0.8371 1
Pm2 0.7889 0.2111 0.3371 1
In1 0.4461 0.5539 0.2562 1
In2 0.5539 0.4461 0.7562 1
Se1 0.0491 0.9509 0.8694 1
Se2 0.2911 0.7089 0.4809 1
Se3 0.3141 0.6859 0.1854 1
Se4 0.3573 0.6427 0.8198 1
Se5 0.4960 0.5040 0.5857 1
Se6 0.5040 0.4960 0.0857 1
Se7 0.6427 0.3573 0.3198 1
Se8 0.6859 0.3141 0.6854 1
Se9 0.7089 0.2911 0.9809 1
Se10 0.9509 0.0491 0.3694 1
```

Here is a relaxed BaPmInSn crystal from Alexandria via LeMat-Bulk. Energies are from PBE-GGA.

## Properties
The formation energy is -40.5 kJ per mole of atoms. As for the space-group type: F-43m (216). The volume is 33.01 Å³/atom.

Structure (CIF):
```
data_BaPmInSn
_chemical_formula_sum 'Ba1 Pm1 In1 Sn1'
_cell_length_a 5.7155
_cell_length_b 5.7155
_cell_length_c 5.7155
_cell_angle_alpha 60.00
_cell_angle_beta 60.00
_cell_angle_gamma 60.00
_symmetry_space_group_name_H-M 'P 1'
_symmetry_Int_Tables_number 1
_symmetry_space_group_name_Hall 'P 1'
loop_
_atom_site_label
_atom_site_fract_x
_atom_site_fract_y
_atom_site_fract_z
_atom_site_occupancy
Ba1 0.0000 0.0000 0.0000 1
Pm1 0.5000 0.5000 0.5000 1
In1 0.2500 0.2500 0.2500 1
Sn1 0.7500 0.7500 0.7500 1
```

Here is a relaxed BaPmIn2Te4 crystal from Alexandria via LeMat-Bulk. Energies are from PBE-GGA.

## Properties
As for the space-group type: P2/m (10). For the uncorrected formation energy, the calculation gives -943 meV/atom. The volume is 37.00 Å³/atom.

Structure (CIF):
```
data_BaPmIn2Te4
_chemical_formula_sum 'Ba1 Pm1 In2 Te4'
_cell_length_a 8.1469
_cell_length_b 4.6041
_cell_length_c 8.3167
_cell_angle_alpha 90.00
_cell_angle_beta 108.39
_cell_angle_gamma 90.00
_symmetry_space_group_name_H-M 'P 1'
_symmetry_Int_Tables_number 1
_symmetry_space_group_name_Hall 'P 1'
loop_
_atom_site_label
_atom_site_fract_x
_atom_site_fract_y
_atom_site_fract_z
_atom_site_occupancy
Ba1 0.0000 0.0000 0.0000 1
Pm1 0.0000 0.5000 0.5000 1
In1 0.5000 0.0000 0.5000 1
In2 0.5000 0.5000 0.0000 1
Te1 0.2398 0.0000 0.7195 1
Te2 0.2562 0.5000 0.2820 1
Te3 0.7438 0.5000 0.7180 1
Te4 0.7602 0.0000 0.2805 1
```

Here is a relaxed BaPmTlIn crystal from Alexandria via LeMat-Bulk. Energies are from PBE-GGA.

## Properties
The formation energy is -29.4 kJ per mole of atoms. As for the space-group type: F-43m (216). The volume is 33.88 Å³/atom.

Structure (CIF):
```
data_BaPmTlIn
_chemical_formula_sum 'Ba1 Pm1 Tl1 In1'
_cell_length_a 5.7654
_cell_length_b 5.7654
_cell_length_c 5.7654
_cell_angle_alpha 60.00
_cell_angle_beta 60.00
_cell_angle_gamma 60.00
_symmetry_space_group_name_H-M 'P 1'
_symmetry_Int_Tables_number 1
_symmetry_space_group_name_Hall 'P 1'
loop_
_atom_site_label
_atom_site_fract_x
_atom_site_fract_y
_atom_site_fract_z
_atom_site_occupancy
Ba1 0.0000 0.0000 0.0000 1
Pm1 0.5000 0.5000 0.5000 1
Tl1 0.7500 0.7500 0.7500 1
In1 0.2500 0.2500 0.2500 1
```

Here is a relaxed BaPmZnIn crystal from Alexandria via LeMat-Bulk. Energies are from PBE-GGA.

## Properties
The formation energy is -21.0 kJ per mole of atoms. As for the space-group type: F-43m (216). The volume is 31.65 Å³/atom.

Structure (CIF):
```
data_BaPmZnIn
_chemical_formula_sum 'Ba1 Pm1 Zn1 In1'
_cell_length_a 5.6359
_cell_length_b 5.6359
_cell_length_c 5.6359
_cell_angle_alpha 60.00
_cell_angle_beta 60.00
_cell_angle_gamma 60.00
_symmetry_space_group_name_H-M 'P 1'
_symmetry_Int_Tables_number 1
_symmetry_space_group_name_Hall 'P 1'
loop_
_atom_site_label
_atom_site_fract_x
_atom_site_fract_y
_atom_site_fract_z
_atom_site_occupancy
Ba1 0.0000 0.0000 0.0000 1
Pm1 0.5000 0.5000 0.5000 1
Zn1 0.7500 0.7500 0.7500 1
In1 0.2500 0.2500 0.2500 1
```

Here is a relaxed Ba2PrIn crystal from Alexandria via LeMat-Bulk. Energies are from PBE-GGA.

## Properties
The formation energy is 14.3 kJ per mole of atoms. As for the space-group type: R-3m (166). The volume is 44.08 Å³/atom.

Structure (CIF):
```
data_Ba2PrIn
_chemical_formula_sum 'Ba2 Pr1 In1'
_cell_length_a 13.2891
_cell_length_b 13.2891
_cell_length_c 13.2891
_cell_angle_alpha 17.06
_cell_angle_beta 17.06
_cell_angle_gamma 17.06
_symmetry_space_group_name_H-M 'P 1'
_symmetry_Int_Tables_number 1
_symmetry_space_group_name_Hall 'P 1'
loop_
_atom_site_label
_atom_site_fract_x
_atom_site_fract_y
_atom_site_fract_z
_atom_site_occupancy
Ba1 0.0965 0.0965 0.0965 1
Ba2 0.9035 0.9035 0.9035 1
Pr1 0.0000 0.0000 0.0000 1
In1 0.5000 0.5000 0.5000 1
```

Here is a relaxed BaPr2In crystal from Alexandria via LeMat-Bulk. Energies are from PBE-GGA.

## Properties
The formation energy is -1.2 kJ per mole of atoms. As for the space-group type: R-3m (166). The value obtained for the polymorph energy (0 for the lowest one) is 118 meV/atom. The volume is 38.18 Å³/atom.

Structure (CIF):
```
data_BaPr2In
_chemical_formula_sum 'Ba1 Pr2 In1'
_cell_length_a 6.7758
_cell_length_b 6.7758
_cell_length_c 6.7758
_cell_angle_alpha 47.12
_cell_angle_beta 47.12
_cell_angle_gamma 47.12
_symmetry_space_group_name_H-M 'P 1'
_symmetry_Int_Tables_number 1
_symmetry_space_group_name_Hall 'P 1'
loop_
_atom_site_label
_atom_site_fract_x
_atom_site_fract_y
_atom_site_fract_z
_atom_site_occupancy
Ba1 0.0000 0.0000 0.0000 1
Pr1 0.2242 0.2242 0.2242 1
Pr2 0.7758 0.7758 0.7758 1
In1 0.5000 0.5000 0.5000 1
```